# 1
CdIn2CuHg: relaxed, PBE.

Computed properties:
* uncorrected energy: -0.1505 Ry per atom
* space group: No. 123
* total magnetization: 0.0 μB/cell
* V: 132 Å³/f.u.

Lattice parameters (Å, degrees): 5.072 5.072 5.138 90.00 90.00 90.00
Element x y z (fractional)
Hg: 0.500 0.500 0.500
Cu: 0.000 0.000 0.000
In: 0.000 0.500 0.000
In: 0.500 0.000 0.000
Cd: 0.000 0.000 0.500


# 2
CdIn2CuHg: relaxed, PBE.

Computed properties:
* uncorrected energy: -0.1467 Ry per atom
* space group: No. 123
* total magnetization: 0.0 μB/cell
* V: 134 Å³/f.u.

Lattice parameters (Å, degrees): 5.101 5.101 5.132 90.00 90.00 90.00
Element x y z (fractional)
Cu: 0.000 0.000 0.000
In: 0.000 0.500 0.000
In: 0.500 0.000 0.000
Hg: 0.000 0.000 0.500
Cd: 0.500 0.500 0.500


# 3
CdInCuHg2: relaxed, PBE.

Computed properties:
* uncorrected energy: -0.1107 Ry per atom
* space group: No. 123
* total magnetization: 0.0 μB/cell
* V: 133 Å³/f.u.

Lattice parameters (Å, degrees): 5.120 5.120 5.079 90.00 90.00 90.00
Element x y z (fractional)
Cu: 0.000 0.000 0.000
Hg: 0.000 0.500 0.000
Hg: 0.500 0.000 0.000
Cd: 0.000 0.000 0.500
In: 0.500 0.500 0.500